1.
Material: HfSiMo
Method: DFT, PBE
State: optimized geometry

a = 5.315 Å, b = 5.315 Å, c = 6.993 Å
α = 122.24°, β = 122.24°, γ = 38.08°
Fractional coordinates of all 6 atoms:
Hf: 0.080 0.080 0.317
Hf: 0.920 0.920 0.683
Si: 0.364 0.364 0.332
Si: 0.636 0.636 0.668
Mo: 0.325 0.325 0.932
Mo: 0.675 0.675 0.068

* space group: C2/m
* Fermi-level density of states: 1.73 states/eV/f.u.
* magnetic moment: 0.0 μB per formula unit
* formation energy from raw total energies: -56 kJ/mol of atoms
* energy above the lowest structure with this stoichiometry: 0.131 eV/atom
* E: -28.0 eV per formula unit


2.
Material: MgMn2Ni
Method: DFT, PBE
State: optimized geometry

a = 2.736 Å, b = 4.052 Å, c = 5.363 Å
α = 90.00°, β = 103.68°, γ = 90.00°
Fractional coordinates of all 4 atoms:
Mg: 0.000 0.000 0.000
Mn: 0.405 0.500 0.723
Mn: 0.595 0.500 0.277
Ni: 0.000 0.000 0.500

* space group: P2/m
* formation energy from the elements: 0.8 eV/f.u.
* Fermi-level density of states: 2.58 states/eV/f.u.
* magnetic moment: 7.5 μB per formula unit
* E: -24.9 eV per formula unit


3.
Material: SiRu
Method: DFT, PBE
State: optimized geometry

a = 6.504 Å, b = 6.504 Å, c = 6.504 Å
α = 90.00°, β = 90.00°, γ = 90.00°
Fractional coordinates of all 12 atoms:
Si: 0.000 0.250 0.500
Si: 0.000 0.750 0.500
Si: 0.250 0.500 0.000
Si: 0.500 0.000 0.250
Si: 0.500 0.000 0.750
Si: 0.750 0.500 0.000
Ru: 0.000 0.500 0.250
Ru: 0.000 0.500 0.750
Ru: 0.250 0.000 0.500
Ru: 0.500 0.250 0.000
Ru: 0.500 0.750 0.000
Ru: 0.750 0.000 0.500

* space group: Pm-3n
* Fermi-level density of states: 1.26 states/eV/f.u.
* magnetic moment: 0.0 μB per formula unit
* formation energy from raw total energies: 36 kJ/mol of atoms
* E: -13.9 eV per formula unit


4.
Material: Sc2CdBiN
Method: DFT, PBE
State: optimized geometry

a = 5.479 Å, b = 5.479 Å, c = 5.405 Å
α = 90.00°, β = 90.00°, γ = 90.00°
Fractional coordinates of all 5 atoms:
Sc: 0.000 0.500 0.000
Sc: 0.500 0.000 0.000
Cd: 0.000 0.000 0.500
Bi: 0.000 0.000 0.000
N: 0.500 0.500 0.500

* space group: P4/mmm
* Fermi-level density of states: 7.42 states/eV/f.u.
* magnetic moment: 0.0 μB per formula unit
* formation energy from raw total energies: 144 kJ/mol of atoms
* E: -18.3 eV per formula unit


Among the records above, which one has the highest Fermi-level density of states?
Sc2CdBiN